[1]
CoAsOs2 (SCAN, PBEsol geometry); M_tot = 0.354 μB per atom; DFT formation energy = 295 meV/atom; crystal system = trigonal; Fermi-level density of states = 3.0 states/eV/f.u.
1.0
1.378 0.795 8.109
-1.378 0.795 8.109
0.000 -1.591 8.109
Co As Os
1 1 2
Direct
0.000 0.000 0.000
0.260 0.260 0.260
0.505 0.505 0.505
0.752 0.752 0.752

[2]
Dy2P7Rh12 (SCAN, PBEsol geometry); M_tot = 0.000 μB per atom; DFT formation energy = -1039 meV/atom; crystal system = trigonal; Fermi-level density of states = 13.7 states/eV/f.u.
1.0
9.470 0.000 0.000
-4.735 8.202 0.000
0.000 0.000 3.805
Dy P Rh
2 7 12
Direct
0.333 0.667 0.250
0.667 0.333 0.750
0.000 0.000 0.500
0.119 0.406 0.754
0.287 0.881 0.754
0.406 0.287 0.246
0.594 0.713 0.754
0.713 0.119 0.246
0.881 0.594 0.246
0.067 0.618 0.750
0.111 0.849 0.248
0.151 0.261 0.248
0.261 0.111 0.752
0.382 0.448 0.750
0.448 0.067 0.250
0.552 0.933 0.750
0.618 0.552 0.250
0.739 0.889 0.248
0.849 0.739 0.752
0.889 0.151 0.752
0.933 0.382 0.250

[3]
LiAl2Mo (SCAN, PBEsol geometry); M_tot = 0.000 μB per atom; ΔE to the lowest computed polymorph = 0.001 eV/atom; DFT formation energy = -193 meV/atom; crystal system = tetragonal; Fermi-level density of states = 1.5 states/eV/f.u.
1.0
4.535 0.000 0.000
0.000 4.535 0.000
0.000 0.000 2.854
Li Al Mo
1 2 1
Direct
0.000 0.000 0.000
0.000 0.500 0.500
0.500 0.000 0.500
0.500 0.500 0.000

[4]
YLuCu2 (SCAN, PBEsol geometry); M_tot = 0.000 μB per atom; DFT formation energy = -328 meV/atom; crystal system = cubic; Fermi-level density of states = 2.1 states/eV/f.u.
1.0
0.000 3.375 3.375
3.375 0.000 3.375
3.375 3.375 0.000
Y Lu Cu
1 1 2
Direct
0.000 0.000 0.000
0.500 0.500 0.500
0.250 0.250 0.250
0.750 0.750 0.750

[5]
CdIrOs2 (SCAN, PBEsol geometry); M_tot = 0.448 μB per atom; DFT formation energy = 740 meV/atom; crystal system = orthorhombic; Fermi-level density of states = 3.5 states/eV/f.u.
1.0
2.808 0.000 0.000
0.000 4.604 0.000
0.000 0.000 4.711
Cd Ir Os
1 1 2
Direct
0.000 0.000 0.000
0.500 0.500 0.000
0.000 0.500 0.500
0.500 0.000 0.500

[6]
Tb2CBr (SCAN, PBEsol geometry); M_tot = 0.000 μB per atom; E_form (uncorrected) = -4.61 eV/f.u.; crystal system = hexagonal; Fermi-level density of states = 1.6 states/eV/f.u.
1.0
3.649 0.000 0.000
-1.825 3.160 0.000
0.000 0.000 13.953
Tb C Br
4 2 2
Direct
0.333 0.667 0.092
0.333 0.667 0.408
0.667 0.333 0.592
0.667 0.333 0.908
0.000 0.000 0.000
0.000 0.000 0.500
0.333 0.667 0.750
0.667 0.333 0.250

[7]
RbSrOs3 (SCAN, PBEsol geometry); M_tot = 0.070 μB per atom; DFT formation energy = 3526 meV/atom; crystal system = cubic; Fermi-level density of states = 8.0 states/eV/f.u.
1.0
4.813 0.000 0.000
0.000 4.813 0.000
0.000 0.000 4.813
Rb Sr Os
1 1 3
Direct
0.000 0.000 0.000
0.500 0.500 0.500
0.000 0.000 0.500
0.000 0.500 0.000
0.500 0.000 0.000

[8]
Mg5SnB2O10 (SCAN, PBEsol geometry); M_tot = 0.000 μB per atom; E_form (uncorrected) = -50.10 eV/f.u.; crystal system = monoclinic; Fermi-level density of states = 0.0 states/eV/f.u.
1.0
9.379 -3.064 0.000
9.379 3.064 0.000
-9.373 0.000 12.415
Mg Sn B O
20 4 8 40
Direct
0.059 0.059 0.380
0.102 0.611 0.718
0.114 0.608 0.218
0.178 0.178 0.119
0.241 0.759 0.000
0.242 0.758 0.500
0.243 0.243 0.998
0.245 0.245 0.500
0.389 0.898 0.282
0.392 0.886 0.782
0.608 0.114 0.218
0.611 0.102 0.718
0.755 0.755 0.500
0.757 0.757 0.002
0.758 0.242 0.500
0.759 0.241 0.000
0.822 0.822 0.881
0.886 0.392 0.782
0.898 0.389 0.282
0.941 0.941 0.620
0.322 0.322 0.884
0.437 0.437 0.614
0.563 0.563 0.386
0.678 0.678 0.116
0.040 0.040 0.858
0.181 0.181 0.638
0.316 0.316 0.358
0.455 0.455 0.139
0.545 0.545 0.861
0.684 0.684 0.642
0.819 0.819 0.362
0.960 0.960 0.142
0.025 0.510 0.923
0.047 0.047 0.237
0.053 0.053 0.957
0.096 0.096 0.543
0.103 0.587 0.577
0.112 0.112 0.855
0.130 0.624 0.857
0.190 0.190 0.735
0.233 0.727 0.357
0.243 0.243 0.359
0.257 0.257 0.644
0.273 0.767 0.643
0.307 0.307 0.263
0.376 0.870 0.143
0.383 0.383 0.141
0.404 0.404 0.456
0.413 0.897 0.423
0.447 0.447 0.044
0.458 0.458 0.765
0.490 0.975 0.077
0.510 0.025 0.923
0.542 0.542 0.235
0.553 0.553 0.956
0.587 0.103 0.577
0.596 0.596 0.544
0.617 0.617 0.859
0.624 0.130 0.857
0.693 0.693 0.737
0.727 0.233 0.357
0.743 0.743 0.356
0.757 0.757 0.641
0.767 0.273 0.643
0.810 0.810 0.265
0.870 0.376 0.143
0.888 0.888 0.145
0.897 0.413 0.423
0.904 0.904 0.457
0.947 0.947 0.043
0.953 0.953 0.763
0.975 0.490 0.077

Question: Which value of M_tot does entry 2 give?
Answer: 0.000 μB per atom